A.
{
  "formula": "BaLiGa",
  "functional": "PBE-GGA",
  "state": "optimized geometry",
  "lattice": [[5.2105, 0.0000, 0.0000], [0.0000, 4.8752, 0.0000], [-0.2557, 0.0000, 6.9211]],
  "species": ["Ba", "Ba", "Li", "Li", "Ga", "Ga"],
  "frac_coords": [[0.2435, 0.2500, 0.3526], [0.7565, 0.7500, 0.6474], [0.3324, 0.7500, 0.0031], [0.6676, 0.2500, 0.9969], [0.1398, 0.2500, 0.8603], [0.8602, 0.7500, 0.1397]]
}


B.
{
  "formula": "BaLiGa",
  "functional": "PBE-GGA",
  "state": "optimized geometry",
  "lattice": [[-1.9540, 1.9540, 5.7655], [1.9540, -1.9540, 5.7655], [1.9540, 1.9540, -5.7655]],
  "species": ["Ba", "Li", "Ga"],
  "frac_coords": [[0.0000, 0.0000, 0.0000], [0.7193, 0.7193, 0.0000], [0.3085, 0.3085, 0.0000]]
}


On energetic grounds, A is preferred over the next structure by 71 meV per atom.


A.
{
  "formula": "BaLiGa",
  "functional": "PBE-GGA",
  "state": "optimized geometry",
  "lattice": [[3.8172, -2.2053, 0.0000], [3.8172, 2.2053, 0.0000], [-0.0395, 0.0000, 10.9053]],
  "species": ["Ba", "Ba", "Li", "Li", "Ga", "Ga"],
  "frac_coords": [[0.1682, 0.1682, 0.3161], [0.8318, 0.8318, 0.6839], [0.4994, 0.4994, 0.8911], [0.5006, 0.5006, 0.1089], [0.1664, 0.1664, 0.9520], [0.8336, 0.8336, 0.0480]]
}


B.
{
  "formula": "BaLiGa",
  "functional": "PBE-GGA",
  "state": "optimized geometry",
  "lattice": [[2.3052, 1.3309, 10.8247], [-2.3052, 1.3309, 10.8247], [0.0000, -2.6618, 10.8247]],
  "species": ["Ba", "Ba", "Li", "Li", "Ga", "Ga"],
  "frac_coords": [[0.0000, 0.0000, 0.0000], [0.2055, 0.2055, 0.2055], [0.1027, 0.1027, 0.1027], [0.7694, 0.7694, 0.7694], [0.3978, 0.3978, 0.3978], [0.4740, 0.4740, 0.4740]]
}


C.
{
  "formula": "BaLiGa",
  "functional": "PBE-GGA",
  "state": "optimized geometry",
  "lattice": [[6.0700, -2.3935, 0.0000], [6.0700, 2.3935, 0.0000], [-2.5783, 0.0000, 6.1714]],
  "species": ["Ba", "Ba", "Li", "Li", "Ga", "Ga"],
  "frac_coords": [[0.0000, 0.0000, 0.0000], [0.2036, 0.2036, 0.6102], [0.7006, 0.7006, 0.9883], [0.8706, 0.8706, 0.3994], [0.3243, 0.3243, 0.1808], [0.4859, 0.4859, 0.5664]]
}


On energetic grounds, C is preferred over the next structure by 7 meV per atom.


A.
{
  "formula": "BaLiGa",
  "functional": "PBE-GGA",
  "state": "optimized geometry",
  "lattice": [[5.0956, 0.0000, 0.0000], [-2.5478, 4.4129, 0.0000], [0.0000, 0.0000, 4.0435]],
  "species": ["Ba", "Li", "Ga"],
  "frac_coords": [[0.0000, 0.0000, 0.0000], [0.3333, 0.6667, 0.5000], [0.6667, 0.3333, 0.5000]]
}


B.
{
  "formula": "BaLiGa",
  "functional": "PBE-GGA",
  "state": "optimized geometry",
  "lattice": [[5.6271, -2.5726, 0.0000], [5.6271, 2.5726, 0.0000], [-5.4840, 0.0000, 6.1256]],
  "species": ["Ba", "Ba", "Li", "Li", "Ga", "Ga"],
  "frac_coords": [[0.2420, 0.2420, 0.1851], [0.7580, 0.7580, 0.8149], [0.3843, 0.3843, 0.6875], [0.6157, 0.6157, 0.3125], [0.0477, 0.0477, 0.3945], [0.9523, 0.9523, 0.6055]]
}


On energetic grounds, B is preferred over the next structure by 82 meV per atom.


A.
{
  "formula": "BaLiGa",
  "functional": "PBE-GGA",
  "state": "optimized geometry",
  "lattice": [[-2.4477, 2.4477, 7.3686], [2.4477, -2.4477, 7.3686], [2.4477, 2.4477, -7.3686]],
  "species": ["Ba", "Ba", "Li", "Li", "Ga", "Ga"],
  "frac_coords": [[0.1743, 0.1743, 0.0000], [0.8257, 0.8257, 0.0000], [0.0000, 0.5000, 0.5000], [0.5000, 0.0000, 0.5000], [0.4120, 0.4120, 0.0000], [0.5880, 0.5880, 0.0000]]
}


B.
{
  "formula": "BaLiGa",
  "functional": "PBE-GGA",
  "state": "optimized geometry",
  "lattice": [[4.0081, -2.3224, 0.0000], [4.0081, 2.3224, 0.0000], [-2.6574, 0.0000, 10.8339]],
  "species": ["Ba", "Ba", "Li", "Li", "Ga", "Ga"],
  "frac_coords": [[0.2329, 0.2329, 0.1932], [0.7671, 0.7671, 0.8068], [0.3444, 0.3444, 0.5339], [0.6556, 0.6556, 0.4661], [0.0370, 0.0370, 0.6140], [0.9630, 0.9630, 0.3860]]
}


On energetic grounds, A is preferred over the next structure by 32 meV per atom.


A.
{
  "formula": "BaLi3Ga",
  "functional": "PBE-GGA",
  "state": "optimized geometry",
  "lattice": [[-3.3948, 5.0466, 3.8693], [3.3948, -5.0466, 3.8693], [3.3948, 5.0466, -3.8693]],
  "species": ["Ba", "Ba", "Li", "Li", "Li", "Li", "Li", "Li", "Ga", "Ga"],
  "frac_coords": [[0.3424, 0.0924, 0.2500], [0.6576, 0.9076, 0.7500], [0.1776, 0.4276, 0.7500], [0.2049, 0.0000, 0.7049], [0.2049, 0.5000, 0.2049], [0.7951, 0.0000, 0.2951], [0.7951, 0.5000, 0.7951], [0.8224, 0.5724, 0.2500], [0.0000, 0.5000, 0.5000], [0.5000, 0.5000, 0.0000]]
}


B.
{
  "formula": "BaLi3Ga",
  "functional": "PBE-GGA",
  "state": "optimized geometry",
  "lattice": [[6.9360, -5.3128, 0.0000], [6.9360, 5.3128, 0.0000], [-1.7484, 0.0000, 7.1369]],
  "species": ["Ba", "Ba", "Ba", "Ba", "Li", "Li", "Li", "Li", "Li", "Li", "Li", "Li", "Li", "Li", "Li", "Li", "Ga", "Ga", "Ga", "Ga"],
  "frac_coords": [[0.0395, 0.9605, 0.7500], [0.3561, 0.6439, 0.2500], [0.6439, 0.3561, 0.7500], [0.9605, 0.0395, 0.2500], [0.0181, 0.3738, 0.1103], [0.0378, 0.3711, 0.5919], [0.2918, 0.3088, 0.8960], [0.3088, 0.2918, 0.3960], [0.3711, 0.0378, 0.0919], [0.3738, 0.0181, 0.6103], [0.6262, 0.9819, 0.3897], [0.6289, 0.9622, 0.9081], [0.6912, 0.7082, 0.6040], [0.7082, 0.6912, 0.1040], [0.9622, 0.6289, 0.4081], [0.9819, 0.6262, 0.8897], [0.2395, 0.5686, 0.6788], [0.4314, 0.7605, 0.8212], [0.5686, 0.2395, 0.1788], [0.7605, 0.4314, 0.3212]]
}


On energetic grounds, A is preferred over the next structure by 23 meV per atom.


A.
{
  "formula": "Ba2Li2Ga",
  "functional": "PBE-GGA",
  "state": "optimized geometry",
  "lattice": [[-2.0506, 2.0506, 10.5225], [2.0506, -2.0506, 10.5225], [2.0506, 2.0506, -10.5225]],
  "species": ["Ba", "Ba", "Li", "Li", "Ga"],
  "frac_coords": [[0.0936, 0.0936, 0.0000], [0.9064, 0.9064, 0.0000], [0.2500, 0.7500, 0.5000], [0.7500, 0.2500, 0.5000], [0.5000, 0.5000, 0.0000]]
}


B.
{
  "formula": "Ba2Li2Ga",
  "functional": "PBE-GGA",
  "state": "optimized geometry",
  "lattice": [[2.3145, 1.3363, 9.9031], [-2.3145, 1.3363, 9.9031], [0.0000, -2.6726, 9.9031]],
  "species": ["Ba", "Ba", "Li", "Li", "Ga"],
  "frac_coords": [[0.0730, 0.0730, 0.0730], [0.9270, 0.9270, 0.9270], [0.1823, 0.1823, 0.1823], [0.8177, 0.8177, 0.8177], [0.5000, 0.5000, 0.5000]]
}


On energetic grounds, B is preferred over the next structure by 22 meV per atom.


A.
{
  "formula": "BaLi2Ga2",
  "functional": "PBE-GGA",
  "state": "optimized geometry",
  "lattice": [[8.5023, 0.0000, 0.0000], [0.0000, 8.5023, 0.0000], [0.0000, 0.0000, 3.1680]],
  "species": ["Ba", "Ba", "Li", "Li", "Li", "Li", "Ga", "Ga", "Ga", "Ga"],
  "frac_coords": [[0.0000, 0.0000, 0.0000], [0.5000, 0.5000, 0.0000], [0.1176, 0.3824, 0.0000], [0.3824, 0.8824, 0.0000], [0.6176, 0.1176, 0.0000], [0.8824, 0.6176, 0.0000], [0.1702, 0.6702, 0.5000], [0.3298, 0.1702, 0.5000], [0.6702, 0.8298, 0.5000], [0.8298, 0.3298, 0.5000]]
}


B.
{
  "formula": "BaLi2Ga2",
  "functional": "PBE-GGA",
  "state": "optimized geometry",
  "lattice": [[8.4096, 0.0000, 0.0000], [0.0000, 8.4096, 0.0000], [0.0000, 0.0000, 3.3398]],
  "species": ["Ba", "Ba", "Li", "Li", "Li", "Li", "Ga", "Ga", "Ga", "Ga"],
  "frac_coords": [[0.0000, 0.0000, 0.0000], [0.5000, 0.5000, 0.0000], [0.1727, 0.3273, 0.5000], [0.3273, 0.8273, 0.5000], [0.6727, 0.1727, 0.5000], [0.8273, 0.6727, 0.5000], [0.1118, 0.6118, 0.0000], [0.3882, 0.1118, 0.0000], [0.6118, 0.8882, 0.0000], [0.8882, 0.3882, 0.0000]]
}


On energetic grounds, A is preferred over the next structure by 42 meV per atom.


A.
{
  "formula": "Ba2Li3Ga2",
  "functional": "PBE-GGA",
  "state": "optimized geometry",
  "lattice": [[6.1531, -2.3756, 0.0000], [6.1531, 2.3756, 0.0000], [-4.0549, 0.0000, 6.7616]],
  "species": ["Ba", "Ba", "Li", "Li", "Li", "Ga", "Ga"],
  "frac_coords": [[0.1445, 0.1445, 0.2640], [0.8555, 0.8555, 0.7360], [0.3378, 0.3378, 0.0683], [0.5000, 0.5000, 0.5000], [0.6622, 0.6622, 0.9317], [0.1157, 0.1157, 0.6790], [0.8843, 0.8843, 0.3210]]
}


B.
{
  "formula": "Ba2Li3Ga2",
  "functional": "PBE-GGA",
  "state": "optimized geometry",
  "lattice": [[5.4364, -2.5922, 0.0000], [5.4364, 2.5922, 0.0000], [-1.9641, 0.0000, 7.1318]],
  "species": ["Ba", "Ba", "Li", "Li", "Li", "Ga", "Ga"],
  "frac_coords": [[0.1414, 0.1414, 0.2689], [0.8586, 0.8586, 0.7311], [0.1885, 0.1885, 0.8441], [0.5000, 0.5000, 0.5000], [0.8115, 0.8115, 0.1559], [0.4219, 0.4219, 0.1106], [0.5781, 0.5781, 0.8894]]
}


On energetic grounds, A is preferred over the next structure by 6 meV per atom.